Dy2YEr6Sc | PBE | optimized geometry

## Properties
DOS(E_F) = 24.9 states/eV/cell
spin magnetization = 0.00 μB per atom
space-group type = C2/c
ΔH_f (0 K) = 0.124 eV per atom

Lattice parameters (Å, degrees): 9.363 8.631 8.631 117.70 93.82 93.82
Atoms (fractional coordinates):
Dy 0.454 0.800 0.693
Dy 0.046 0.307 0.200
Dy 0.546 0.200 0.307
Dy 0.954 0.693 0.800
Y 0.250 0.979 0.021
Y 0.750 0.021 0.979
Er 0.056 0.130 0.751
Er 0.444 0.249 0.870
Er 0.944 0.870 0.249
Er 0.556 0.751 0.130
Er 0.310 0.990 0.433
Er 0.190 0.567 0.010
Er 0.690 0.010 0.567
Er 0.810 0.433 0.990
Er 0.116 0.709 0.497
Er 0.384 0.503 0.291
Er 0.884 0.291 0.503
Er 0.616 0.497 0.709
Sc 0.250 0.413 0.587
Sc 0.750 0.587 0.413

---

DyYErSc | PBE | optimized geometry

## Properties
DOS(E_F) = 6.5 states/eV/cell
excess energy over the best structure of this formula in the dataset = 0.000 eV per atom
spin magnetization = 0.00 μB per atom
space-group type = I-4m2
ΔH_f (0 K) = 0.047 eV per atom

Lattice parameters (Å, degrees): 4.923 4.928 5.993 114.28 114.25 90.00
Atoms (fractional coordinates):
Dy 0.120 0.120 0.240
Y 0.370 0.870 0.739
Er 0.870 0.370 0.740
Sc 0.620 0.620 0.240

---

DyErScZn | PBE | optimized geometry

## Properties
DOS(E_F) = 4.5 states/eV/cell
excess energy over the best structure of this formula in the dataset = 0.000 eV per atom
spin magnetization = 0.00 μB per atom
space-group type = P4mm
ΔH_f (0 K) = -0.145 eV per atom

Lattice parameters (Å, degrees): 3.500 3.500 8.235 90.00 90.00 90.00
Atoms (fractional coordinates):
Dy 0.500 0.500 0.790
Er 0.500 0.500 0.354
Sc 0.000 0.000 0.073
Zn 0.000 0.000 0.568

---

DyErScZn | PBE | optimized geometry

## Properties
DOS(E_F) = 4.1 states/eV/cell
excess energy over the best structure of this formula in the dataset = 0.139 eV per atom
spin magnetization = 0.00 μB per atom
space-group type = F-43m
ΔH_f (0 K) = -0.006 eV per atom

Lattice parameters (Å, degrees): 5.192 5.192 5.192 60.00 60.00 60.00
Atoms (fractional coordinates):
Sc 0.500 0.500 0.500
Zn 0.000 0.000 0.000
Dy 0.750 0.750 0.750
Er 0.250 0.250 0.250

---

Dy2Er4ZrSc | PBE | optimized geometry

## Properties
DOS(E_F) = 11.4 states/eV/cell
spin magnetization = 0.00 μB per atom
space-group type = P4/mmm
ΔH_f (0 K) = 0.061 eV per atom

Lattice parameters (Å, degrees): 4.869 4.864 10.861 63.40 90.00 90.00
Atoms (fractional coordinates):
Dy 0.000 0.000 0.000
Dy 0.500 0.000 0.500
Er 0.000 0.756 0.744
Er 0.000 0.244 0.256
Er 0.500 0.744 0.256
Er 0.500 0.256 0.744
Zr 0.000 0.500 0.500
Sc 0.500 0.500 0.000

---

Dy6Er3ZrSc2 | PBE | optimized geometry

## Properties
DOS(E_F) = 16.2 states/eV/cell
spin magnetization = 0.00 μB per atom
space-group type = C2/m
ΔH_f (0 K) = 0.054 eV per atom

Lattice parameters (Å, degrees): 5.982 5.982 11.416 95.00 95.00 119.92
Atoms (fractional coordinates):
Dy 0.920 0.590 0.760
Dy 0.751 0.751 0.240
Dy 0.080 0.410 0.240
Dy 0.590 0.920 0.760
Dy 0.249 0.249 0.760
Dy 0.410 0.080 0.240
Er 0.167 0.833 0.500
Er 0.833 0.167 0.500
Er 0.500 0.500 0.500
Zr 0.000 0.000 0.000
Sc 0.333 0.667 0.000
Sc 0.667 0.333 0.000

---

Dy3Er6ZrSc2 | PBE | optimized geometry

## Properties
DOS(E_F) = 16.2 states/eV/cell
spin magnetization = 0.00 μB per atom
space-group type = C2/m
ΔH_f (0 K) = 0.050 eV per atom

Lattice parameters (Å, degrees): 5.967 5.967 11.399 95.00 95.00 119.93
Atoms (fractional coordinates):
Dy 0.167 0.833 0.500
Dy 0.833 0.167 0.500
Dy 0.500 0.500 0.500
Er 0.920 0.591 0.761
Er 0.751 0.751 0.239
Er 0.080 0.409 0.239
Er 0.591 0.920 0.761
Er 0.249 0.249 0.761
Er 0.409 0.080 0.239
Zr 0.000 0.000 0.000
Sc 0.333 0.667 0.000
Sc 0.667 0.333 0.000

---

Dy6Er2ZrSc3 | PBE | optimized geometry

## Properties
DOS(E_F) = 16.9 states/eV/cell
spin magnetization = 0.00 μB per atom
space-group type = C2/m
ΔH_f (0 K) = 0.062 eV per atom

Lattice parameters (Å, degrees): 5.961 5.961 11.290 95.03 95.03 119.94
Atoms (fractional coordinates):
Dy 0.915 0.587 0.747
Dy 0.757 0.757 0.252
Dy 0.085 0.413 0.253
Dy 0.587 0.915 0.747
Dy 0.243 0.243 0.748
Dy 0.413 0.085 0.253
Er 0.333 0.667 0.000
Er 0.667 0.333 0.000
Zr 0.000 0.000 0.000
Sc 0.167 0.833 0.500
Sc 0.833 0.167 0.500
Sc 0.500 0.500 0.500

---

DyEr4Se5 | PBE | optimized geometry

## Properties
DOS(E_F) = 4.2 states/eV/cell
spin magnetization = 0.00 μB per atom
space-group type = I4/mmm
formation energy without anion corrections = -1702.1 meV per atom

Lattice parameters (Å, degrees): 4.037 4.037 14.634 97.93 97.93 90.00
Atoms (fractional coordinates):
Dy 0.000 0.000 0.000
Er 0.402 0.402 0.805
Er 0.796 0.796 0.593
Er 0.204 0.204 0.407
Er 0.598 0.598 0.195
Se 0.102 0.102 0.204
Se 0.500 0.500 0.000
Se 0.898 0.898 0.796
Se 0.302 0.302 0.605
Se 0.698 0.698 0.395

---

DyEr3Se4 | PBE | optimized geometry

## Properties
DOS(E_F) = 6.9 states/eV/cell
excess energy over the best structure of this formula in the dataset = 0.000 eV per atom
spin magnetization = 0.00 μB per atom
space-group type = P2/c
formation energy without anion corrections = -1708.5 meV per atom

Lattice parameters (Å, degrees): 7.036 7.042 8.001 90.00 90.00 109.21
Atoms (fractional coordinates):
Er 0.750 0.000 0.374
Er 0.250 0.000 0.626
Er 0.750 0.500 0.626
Er 0.750 0.500 0.124
Er 0.250 0.500 0.374
Er 0.250 0.500 0.876
Se 0.001 0.251 0.624
Se 0.500 0.253 0.874
Se 0.501 0.251 0.376
Se 0.000 0.253 0.126
Se 0.000 0.747 0.874
Se 0.499 0.749 0.624
Se 0.500 0.747 0.126
Se 0.999 0.749 0.376
Dy 0.750 0.000 0.876
Dy 0.250 0.000 0.124

---

DyEr2Se | PBE | optimized geometry

## Properties
DOS(E_F) = 4.3 states/eV/cell
excess energy over the best structure of this formula in the dataset = 0.123 eV per atom
spin magnetization = 0.00 μB per atom
space-group type = P4/mmm
formation energy without anion corrections = -672.8 meV per atom

Lattice parameters (Å, degrees): 3.582 3.582 8.409 90.00 90.00 90.00
Atoms (fractional coordinates):
Dy 0.500 0.500 0.500
Se 0.500 0.500 0.000
Er 0.000 0.000 0.790
Er 0.000 0.000 0.210

---

DyEr6Se8 | PBE | optimized geometry

## Properties
DOS(E_F) = 5.9 states/eV/cell
spin magnetization = 0.00 μB per atom
space-group type = Fm-3m
formation energy without anion corrections = -1797.1 meV per atom

Lattice parameters (Å, degrees): 8.049 8.049 8.049 60.00 60.00 60.00
Atoms (fractional coordinates):
Dy 0.000 0.000 0.000
Er 0.000 0.500 0.500
Er 0.500 0.000 0.000
Er 0.500 0.500 0.000
Er 0.000 0.000 0.500
Er 0.000 0.500 0.000
Er 0.500 0.000 0.500
Se 0.750 0.750 0.750
Se 0.250 0.250 0.250
Se 0.745 0.255 0.255
Se 0.255 0.745 0.745
Se 0.255 0.255 0.745
Se 0.745 0.745 0.255
Se 0.745 0.255 0.745
Se 0.255 0.745 0.255